AgPb3C: relaxed, PBEsol.

Properties
* formation energy from the elements: 0.978 eV per atom
* total magnetic moment: 0.000 μB/f.u.
* E_tot: -4.01 eV per atom

abc: 4.9129 4.9129 4.9129
angles: 90.00 90.00 90.00
With the nearest neighbours (Å) after each atom.
Element x y z (fractional)
Pb 0.0000 0.5000 0.0000  2 C 2.46
Pb 0.0000 0.0000 0.5000  2 C 2.46
Pb 0.5000 0.0000 0.0000  2 C 2.46
C 0.0000 0.0000 0.0000  6 Pb 2.46
Ag 0.5000 0.5000 0.5000  12 Pb 3.47